## i
GaCu3N | PBE | relaxed

Computed properties:
Total magnetization ... 0.00 μB/f.u.
N(E_F) ... 0.464 states/eV/atom

a = 3.978 Å, b = 3.978 Å, c = 3.978 Å
α = 90.00°, β = 90.00°, γ = 90.00°
Fractional positions:
Ga: 0.000 0.000 0.000
Cu: 0.000 0.500 0.500
Cu: 0.500 0.000 0.500
Cu: 0.500 0.500 0.000
N: 0.500 0.500 0.500



## ii
GaCu3N | PBE | relaxed

Computed properties:
Total magnetization ... 0.00 μB/f.u.
N(E_F) ... 0.899 states/eV/atom

a = 4.418 Å, b = 4.418 Å, c = 4.418 Å
α = 90.00°, β = 90.00°, γ = 90.00°
Fractional positions:
Ga: 0.000 0.000 0.000
Cu: 0.000 0.000 0.500
Cu: 0.000 0.500 0.000
Cu: 0.500 0.000 0.000
N: 0.500 0.500 0.500



Most favorable first, least favorable last: i, ii



## i
GaCu2N | PBE | relaxed

Computed properties:
Total magnetization ... 0.00 μB/f.u.
N(E_F) ... 0.000 states/eV/atom

a = 6.352 Å, b = 6.352 Å, c = 6.352 Å
α = 135.28°, β = 135.28°, γ = 65.09°
Fractional positions:
Ga: 0.000 0.000 0.000
Ga: 0.750 0.250 0.500
Cu: 0.284 0.625 0.159
Cu: 0.375 0.534 0.659
Cu: 0.466 0.125 0.841
Cu: 0.875 0.716 0.341
N: 0.250 0.750 0.500
N: 0.500 0.500 0.000



## ii
GaCu2N | PBE | relaxed

Computed properties:
Total magnetization ... 0.00 μB/f.u.
N(E_F) ... 0.028 states/eV/atom

a = 4.035 Å, b = 4.035 Å, c = 4.035 Å
α = 60.00°, β = 60.00°, γ = 60.00°
Fractional positions:
Ga: 0.000 0.000 0.000
Cu: 0.250 0.250 0.250
Cu: 0.750 0.750 0.750
N: 0.500 0.500 0.500



Most favorable first, least favorable last: i, ii



## i
GaCuSN2 | PBE | relaxed

Computed properties:
Total magnetization ... 2.59 μB/f.u.
N(E_F) ... 0.466 states/eV/atom

a = 3.648 Å, b = 3.648 Å, c = 5.853 Å
α = 90.00°, β = 90.00°, γ = 90.00°
Fractional positions:
Ga: 0.000 0.000 0.000
Cu: 0.500 0.500 0.500
S: 0.500 0.500 0.000
N: 0.000 0.500 0.500
N: 0.500 0.000 0.500



## ii
GaCuSN2 | PBE | relaxed

Computed properties:
Total magnetization ... 3.31 μB/f.u.
N(E_F) ... 0.690 states/eV/atom

a = 3.770 Å, b = 3.770 Å, c = 5.328 Å
α = 90.00°, β = 90.00°, γ = 90.00°
Fractional positions:
Ga: 0.000 0.000 0.000
Cu: 0.500 0.500 0.500
S: 0.000 0.000 0.500
N: 0.000 0.500 0.000
N: 0.500 0.000 0.000



Most favorable first, least favorable last: i, ii



## i
GaCuS2N | PBE | relaxed

Computed properties:
Total magnetization ... 0.89 μB/f.u.
N(E_F) ... 0.741 states/eV/atom

a = 4.771 Å, b = 4.771 Å, c = 3.571 Å
α = 90.00°, β = 90.00°, γ = 90.00°
Fractional positions:
Ga: 0.000 0.000 0.000
Cu: 0.500 0.500 0.500
S: 0.000 0.500 0.500
S: 0.500 0.000 0.500
N: 0.500 0.500 0.000



## ii
GaCuS2N | PBE | relaxed

Computed properties:
Total magnetization ... 0.00 μB/f.u.
N(E_F) ... 1.090 states/eV/atom

a = 4.851 Å, b = 4.851 Å, c = 3.636 Å
α = 90.00°, β = 90.00°, γ = 90.00°
Fractional positions:
Ga: 0.000 0.000 0.000
Cu: 0.500 0.500 0.500
S: 0.000 0.500 0.000
S: 0.500 0.000 0.000
N: 0.000 0.000 0.500



Most favorable first, least favorable last: i, ii



## i
GaCuSe2N | PBE | relaxed

Computed properties:
Total magnetization ... 1.00 μB/f.u.
N(E_F) ... 0.938 states/eV/atom

a = 5.103 Å, b = 5.103 Å, c = 3.537 Å
α = 90.00°, β = 90.00°, γ = 90.00°
Fractional positions:
Ga: 0.000 0.000 0.000
Cu: 0.500 0.500 0.500
Se: 0.000 0.500 0.500
Se: 0.500 0.000 0.500
N: 0.500 0.500 0.000



## ii
GaCuSe2N | PBE | relaxed

Computed properties:
Total magnetization ... 1.99 μB/f.u.
N(E_F) ... 0.829 states/eV/atom

a = 5.209 Å, b = 5.209 Å, c = 3.583 Å
α = 90.00°, β = 90.00°, γ = 90.00°
Fractional positions:
Ga: 0.000 0.000 0.000
Cu: 0.500 0.500 0.500
Se: 0.000 0.500 0.000
Se: 0.500 0.000 0.000
N: 0.000 0.000 0.500



Most favorable first, least favorable last: i, ii



## i
GaCuTeN2 | PBE | relaxed

Computed properties:
Total magnetization ... 3.19 μB/f.u.
N(E_F) ... 0.482 states/eV/atom

a = 3.847 Å, b = 3.847 Å, c = 6.233 Å
α = 90.00°, β = 90.00°, γ = 90.00°
Fractional positions:
Ga: 0.000 0.000 0.000
Cu: 0.500 0.500 0.500
Te: 0.000 0.000 0.500
N: 0.000 0.500 0.000
N: 0.500 0.000 0.000



## ii
GaCuTeN2 | PBE | relaxed

Computed properties:
Total magnetization ... 3.43 μB/f.u.
N(E_F) ... 0.489 states/eV/atom

a = 3.891 Å, b = 3.891 Å, c = 5.940 Å
α = 90.00°, β = 90.00°, γ = 90.00°
Fractional positions:
Ga: 0.000 0.000 0.000
Cu: 0.500 0.500 0.500
Te: 0.500 0.500 0.000
N: 0.000 0.500 0.500
N: 0.500 0.000 0.500



Most favorable first, least favorable last: i, ii



## i
Na2GaCu2 | PBE | relaxed

Computed properties:
Total magnetization ... 0.00 μB/f.u.
N(E_F) ... 0.304 states/eV/atom

a = 8.626 Å, b = 8.626 Å, c = 2.632 Å
α = 90.00°, β = 90.00°, γ = 90.00°
Fractional positions:
Na: 0.133 0.367 0.000
Na: 0.367 0.867 0.000
Na: 0.633 0.133 0.000
Na: 0.867 0.633 0.000
Ga: 0.000 0.000 0.000
Ga: 0.500 0.500 0.000
Cu: 0.165 0.665 0.500
Cu: 0.335 0.165 0.500
Cu: 0.665 0.835 0.500
Cu: 0.835 0.335 0.500



## ii
Na2GaCu2 | PBE | relaxed

Computed properties:
Total magnetization ... 0.00 μB/f.u.
N(E_F) ... 0.360 states/eV/atom

a = 7.210 Å, b = 7.210 Å, c = 7.210 Å
α = 148.67°, β = 148.67°, γ = 44.89°
Fractional positions:
Na: 0.250 0.750 0.500
Na: 0.750 0.250 0.500
Ga: 0.000 0.000 0.000
Cu: 0.413 0.413 0.000
Cu: 0.587 0.587 0.000



Most favorable first, least favorable last: i, ii



## i
Na2Ga6Cu | PBE | relaxed

Computed properties:
Total magnetization ... 0.00 μB/f.u.
N(E_F) ... 0.377 states/eV/atom

a = 6.013 Å, b = 6.013 Å, c = 5.877 Å
α = 103.78°, β = 103.78°, γ = 59.17°
Fractional positions:
Na: 0.153 0.153 0.354
Na: 0.847 0.847 0.646
Ga: 0.100 0.649 0.169
Ga: 0.351 0.900 0.831
Ga: 0.380 0.380 0.813
Ga: 0.620 0.620 0.187
Ga: 0.649 0.100 0.169
Ga: 0.900 0.351 0.831
Cu: 0.500 0.500 0.500



## ii
Na2Ga6Cu | PBE | relaxed

Computed properties:
Total magnetization ... 0.00 μB/f.u.
N(E_F) ... 0.363 states/eV/atom

a = 6.008 Å, b = 6.008 Å, c = 5.604 Å
α = 90.03°, β = 90.03°, γ = 60.01°
Fractional positions:
Na: 0.167 0.167 0.346
Na: 0.833 0.833 0.654
Ga: 0.149 0.676 0.176
Ga: 0.324 0.851 0.824
Ga: 0.325 0.325 0.823
Ga: 0.675 0.675 0.177
Ga: 0.676 0.149 0.176
Ga: 0.851 0.324 0.824
Cu: 0.500 0.500 0.500



Most favorable first, least favorable last: ii, i